No. 1
Compound: NiPt2W
Source: Alexandria
Functional: GGA-PBEsol
Structure: optimized geometry

Calculated values
Offset from the most stable computed form: 0.0 meV/atom
Total DFT energy (no corrections): -69.98 eV/cell
Size of the total moment: 0.00 μB/atom
Energy relative to the elements: -26.5 kJ/mol of atoms

Cell lengths 3.7861, 3.7861, 7.7469 Å; angles 90.00, 90.00, 90.00 degrees
Space group I4/mmm (No. 139)
Symmetry-distinct sites (fractional):
Ni (0.0000, 0.0000, 0.0000) [2 per cell]
Pt (0.0000, 0.5000, 0.2500) [4 per cell]
W (0.0000, 0.0000, 0.5000) [2 per cell]

No. 2
Compound: NiPt2W
Source: Alexandria
Functional: GGA-PBEsol
Structure: optimized geometry

Calculated values
Offset from the most stable computed form: 53.2 meV/atom
Total DFT energy (no corrections): -69.56 eV/cell
Size of the total moment: 0.00 μB/atom
Energy relative to the elements: -21.4 kJ/mol of atoms

Cell lengths 3.7795, 3.7795, 7.8102 Å; angles 90.00, 90.00, 90.00 degrees
Space group I-4m2 (No. 119)
Symmetry-distinct sites (fractional):
Ni (0.0000, 0.0000, 0.0000) [2 per cell]
Pt (0.0000, 0.0000, 0.5000) [2 per cell]
Pt (0.0000, 0.5000, 0.2500) [2 per cell]
W (0.0000, 0.5000, 0.7500) [2 per cell]

No. 3
Compound: NiPtW2
Source: Alexandria
Functional: GGA-PBEsol
Structure: optimized geometry

Calculated values
Offset from the most stable computed form: 26.1 meV/atom
Total DFT energy (no corrections): -41.06 eV/cell
Size of the total moment: 0.00 μB/atom
Energy relative to the elements: -7.8 kJ/mol of atoms

Cell lengths 2.6960, 2.6960, 7.8082 Å; angles 90.00, 90.00, 90.00 degrees
Space group P4mm (No. 99)
Symmetry-distinct sites (fractional):
Ni (0.0000, 0.0000, 0.0000) [1 per cell]
Pt (0.5000, 0.5000, 0.7571) [1 per cell]
W (0.0000, 0.0000, 0.5065) [1 per cell]
W (0.5000, 0.5000, 0.2205) [1 per cell]

No. 4
Compound: NiPt2W
Source: Alexandria
Functional: GGA-PBEsol
Structure: optimized geometry

Calculated values
Offset from the most stable computed form: 90.1 meV/atom
Total DFT energy (no corrections): -69.26 eV/cell
Size of the total moment: 0.00 μB/atom
Energy relative to the elements: -17.8 kJ/mol of atoms

Cell lengths 8.9524, 2.7175, 4.6941 Å; angles 90.00, 100.30, 90.00 degrees
Space group Cm (No. 8)
Symmetry-distinct sites (fractional):
Ni (0.0000, 0.0000, 0.0000) [2 per cell]
Pt (0.2508, 0.0000, 0.7629) [2 per cell]
Pt (0.4952, 0.0000, 0.4813) [2 per cell]
W (0.2437, 0.5000, 0.2474) [2 per cell]

No. 5
Compound: NiPtW2
Source: Alexandria
Functional: GGA-PBEsol
Structure: optimized geometry

Calculated values
Offset from the most stable computed form: 0.0 meV/atom
Total DFT energy (no corrections): -41.17 eV/cell
Size of the total moment: 0.00 μB/atom
Energy relative to the elements: -10.4 kJ/mol of atoms

Cell lengths 2.6910, 4.3582, 4.8116 Å; angles 90.00, 90.00, 90.00 degrees
Space group Pmm2 (No. 25)
Symmetry-distinct sites (fractional):
Ni (0.0000, 0.0000, 0.0000) [1 per cell]
Pt (0.0000, 0.5000, 0.6790) [1 per cell]
W (0.5000, 0.0000, 0.4939) [1 per cell]
W (0.5000, 0.5000, 0.1611) [1 per cell]

No. 6
Compound: Ni2PtW
Source: Alexandria
Functional: GGA-PBEsol
Structure: optimized geometry

Calculated values
Offset from the most stable computed form: 0.0 meV/atom
Total DFT energy (no corrections): -67.90 eV/cell
Size of the total moment: 0.00 μB/atom
Energy relative to the elements: -20.8 kJ/mol of atoms

Cell lengths 3.6433, 3.6433, 7.6668 Å; angles 90.00, 90.00, 90.00 degrees
Space group I-4m2 (No. 119)
Symmetry-distinct sites (fractional):
Ni (0.0000, 0.0000, 0.0000) [2 per cell]
Ni (0.0000, 0.5000, 0.2500) [2 per cell]
Pt (0.0000, 0.5000, 0.7500) [2 per cell]
W (0.0000, 0.0000, 0.5000) [2 per cell]